(1)
Crystalline LaDy4Er at its relaxed geometry. Source: the Alexandria database, functional PBE.

Calculated values
Energy of formation ... 200 meV per atom
Total DFT energy (no corrections) ... -4.450 eV/atom

Cell and atoms, written as CIF:
```
data_LaDy4Er
_chemical_formula_sum 'La1 Dy4 Er1'
_cell_length_a 3.4288
_cell_length_b 5.7925
_cell_length_c 10.0486
_cell_angle_alpha 90.00
_cell_angle_beta 90.00
_cell_angle_gamma 90.00
_symmetry_space_group_name_H-M 'P 1'
_symmetry_Int_Tables_number 1
loop_
_symmetry_equiv_pos_as_xyz
'x,y,z'
loop_
_atom_site_label
_atom_site_type_symbol
_atom_site_fract_x
_atom_site_fract_y
_atom_site_fract_z
_atom_site_occupancy
La1 La 0.0000 0.0000 0.0000 1
Dy1 Dy 0.0000 0.5000 0.1950 1
Dy2 Dy 0.0000 0.5000 0.8050 1
Dy3 Dy 0.5000 0.0000 0.3173 1
Dy4 Dy 0.5000 0.0000 0.6827 1
Er1 Er 0.5000 0.5000 0.5000 1
```

***

(2)
Crystalline La2Dy6Er at its relaxed geometry. Source: the Alexandria database, functional PBE.

Calculated values
Energy of formation ... 69 meV per atom
Total DFT energy (no corrections) ... -4.601 eV/atom

Cell and atoms, written as CIF:
```
data_La2Dy6Er
_chemical_formula_sum 'La2 Dy6 Er1'
_cell_length_a 9.8230
_cell_length_b 9.8230
_cell_length_c 3.5031
_cell_angle_alpha 90.08
_cell_angle_beta 90.08
_cell_angle_gamma 59.97
_symmetry_space_group_name_H-M 'P 1'
_symmetry_Int_Tables_number 1
loop_
_symmetry_equiv_pos_as_xyz
'x,y,z'
loop_
_atom_site_label
_atom_site_type_symbol
_atom_site_fract_x
_atom_site_fract_y
_atom_site_fract_z
_atom_site_occupancy
La1 La 0.1667 0.1667 0.0001 1
La2 La 0.8333 0.8333 0.9999 1
Dy1 Dy 0.1704 0.5000 0.4990 1
Dy2 Dy 0.1702 0.8298 0.5000 1
Dy3 Dy 0.5000 0.1704 0.4990 1
Dy4 Dy 0.5000 0.8296 0.5010 1
Dy5 Dy 0.8298 0.1702 0.5000 1
Dy6 Dy 0.8296 0.5000 0.5010 1
Er1 Er 0.5000 0.5000 0.0000 1
```